No. 1
Computed, not measured: crystalline LiSbAs2O6 at its relaxed geometry at the PBE-GGA level of DFT.

Values from the calculation:
The volume is 471.55 Å³ per cell. The total energy is -175.19 eV for the cell shown. Its density of states at the Fermi level is 0.000 states/eV per cell. The calculation puts the raw formation energy at -1284.3 kJ/mol of formula units.

Cell and atoms, written as CIF:
```
data_LiSbAs2O6
_chemical_formula_sum 'Li3 Sb3 As6 O18'
_cell_length_a 5.3939
_cell_length_b 5.3939
_cell_length_c 18.7150
_cell_angle_alpha 90.00
_cell_angle_beta 90.00
_cell_angle_gamma 120.00
_symmetry_space_group_name_H-M 'R 3'
_symmetry_Int_Tables_number 146
_symmetry_space_group_name_Hall 'R 3'
loop_
_atom_site_label
_atom_site_type_symbol
_atom_site_fract_x
_atom_site_fract_y
_atom_site_fract_z
Li1 Li 0.0000 0.0000 0.0000
Sb1 Sb 0.0000 0.0000 0.4022
As1 As 0.0000 0.0000 0.1761
As2 As 0.0000 0.0000 0.7258
O1 O 0.0056 0.5919 0.7971
O2 O 0.0653 0.3394 0.3412
```

---

No. 2
Computed, not measured: crystalline Pm4Dy8Tm3 at its relaxed geometry at the PBE-GGA level of DFT.

Values from the calculation:
The volume is 1470.49 Å³ per cell. The total energy is -202.17 eV for the cell shown. For the energy above the most stable polymorph in this dataset, the calculation gives 0 meV per atom. The energy of formation is 0.12 eV/atom. Its density of states at the Fermi level is 67.431 states/eV per cell.

Cell and atoms, written as CIF:
```
data_Pm4Dy8Tm3
_chemical_formula_sum 'Pm12 Dy24 Tm9'
_cell_length_a 6.9295
_cell_length_b 6.9295
_cell_length_c 35.3617
_cell_angle_alpha 90.00
_cell_angle_beta 90.00
_cell_angle_gamma 120.00
_symmetry_space_group_name_H-M 'R -3 m'
_symmetry_Int_Tables_number 166
_symmetry_space_group_name_Hall '-R 3 2"'
loop_
_atom_site_label
_atom_site_type_symbol
_atom_site_fract_x
_atom_site_fract_y
_atom_site_fract_z
Pm1 Pm 0.0000 0.0000 0.0000
Pm2 Pm 0.0000 0.0000 0.1635
Pm3 Pm 0.0000 0.0000 0.5000
Dy1 Dy 0.0000 0.0000 0.2556
Dy2 Dy 0.0019 0.5010 0.2514
Tm1 Tm 0.0000 0.5000 0.0000
```

---

No. 3
Computed, not measured: crystalline Ca2ZnSbAs at its relaxed geometry at the PBE-GGA level of DFT.

Values from the calculation:
The volume is 282.48 Å³ per cell. The total energy is -36.42 eV for the cell shown. The calculation puts the raw formation energy at -401.5 kJ/mol of formula units.

Cell and atoms, written as CIF:
```
data_Ca2ZnSbAs
_chemical_formula_sum 'Ca4 Zn2 Sb2 As2'
_cell_length_a 7.5889
_cell_length_b 4.3321
_cell_length_c 8.9611
_cell_angle_alpha 90.00
_cell_angle_beta 106.49
_cell_angle_gamma 90.00
_symmetry_space_group_name_H-M 'P 1 21/m 1'
_symmetry_Int_Tables_number 11
_symmetry_space_group_name_Hall '-P 2yb'
loop_
_atom_site_label
_atom_site_type_symbol
_atom_site_fract_x
_atom_site_fract_y
_atom_site_fract_z
Ca1 Ca 0.1765 0.2500 0.3963
Ca2 Ca 0.2172 0.2500 0.9686
Zn1 Zn 0.5001 0.2500 0.7330
Sb1 Sb 0.2880 0.7500 0.6963
As1 As 0.1735 0.7500 0.1785
```

---

No. 4
Computed, not measured: crystalline MgRh2Pb at its relaxed geometry at the PBE-GGA level of DFT.

Values from the calculation:
The volume is 269.04 Å³ per cell. The total energy is -85.28 eV for the cell shown. The energy of formation is -0.33 eV/atom. Its density of states at the Fermi level is 10.050 states/eV per cell.

Cell and atoms, written as CIF:
```
data_MgRh2Pb
_chemical_formula_sum 'Mg4 Rh8 Pb4'
_cell_length_a 6.4556
_cell_length_b 6.4556
_cell_length_c 6.4556
_cell_angle_alpha 90.00
_cell_angle_beta 90.00
_cell_angle_gamma 90.00
_symmetry_space_group_name_H-M 'F m -3 m'
_symmetry_Int_Tables_number 225
_symmetry_space_group_name_Hall '-F 4 2 3'
loop_
_atom_site_label
_atom_site_type_symbol
_atom_site_fract_x
_atom_site_fract_y
_atom_site_fract_z
Mg1 Mg 0.0000 0.0000 0.0000
Rh1 Rh 0.2500 0.2500 0.2500
Pb1 Pb 0.0000 0.0000 0.5000
```

---

No. 5
Computed, not measured: crystalline TmAl2Te4 at its relaxed geometry at the PBE-GGA level of DFT.

Values from the calculation:
The volume is 253.52 Å³ per cell. The total energy is -28.15 eV for the cell shown. Its density of states at the Fermi level is 2.727 states/eV per cell. The calculation puts the raw formation energy at -349.8 kJ/mol of formula units.

Cell and atoms, written as CIF:
```
data_TmAl2Te4
_chemical_formula_sum 'Tm1 Al2 Te4'
_cell_length_a 6.1359
_cell_length_b 6.1359
_cell_length_c 6.7336
_cell_angle_alpha 90.00
_cell_angle_beta 90.00
_cell_angle_gamma 90.00
_symmetry_space_group_name_H-M 'P -4 2 m'
_symmetry_Int_Tables_number 111
_symmetry_space_group_name_Hall 'P -4 2'
loop_
_atom_site_label
_atom_site_type_symbol
_atom_site_fract_x
_atom_site_fract_y
_atom_site_fract_z
Tm1 Tm 0.0000 0.0000 0.0000
Al1 Al 0.0000 0.5000 0.5000
Te1 Te 0.2711 0.2711 0.2596
```

---

No. 6
Computed, not measured: crystalline MnCoNi at its relaxed geometry at the PBE-GGA level of DFT.

Values from the calculation:
The volume is 64.15 Å³ per cell. The total energy is -43.72 eV for the cell shown. For the energy above the most stable polymorph in this dataset, the calculation gives 21 meV per atom. The energy of formation is 0.07 eV/atom. Its density of states at the Fermi level is 7.952 states/eV per cell.

Cell and atoms, written as CIF:
```
data_MnCoNi
_chemical_formula_sum 'Mn2 Co2 Ni2'
_cell_length_a 2.4573
_cell_length_b 2.4573
_cell_length_c 10.6240
_cell_angle_alpha 90.00
_cell_angle_beta 90.00
_cell_angle_gamma 90.00
_symmetry_space_group_name_H-M 'I 4 m m'
_symmetry_Int_Tables_number 107
_symmetry_space_group_name_Hall 'I 4 -2'
loop_
_atom_site_label
_atom_site_type_symbol
_atom_site_fract_x
_atom_site_fract_y
_atom_site_fract_z
Mn1 Mn 0.0000 0.0000 0.0000
Co1 Co 0.0000 0.0000 0.3411
Ni1 Ni 0.0000 0.0000 0.6691
```

---

No. 7
Computed, not measured: crystalline Sr3InAg8 at its relaxed geometry at the PBE-GGA level of DFT.

Values from the calculation:
The volume is 849.16 Å³ per cell. The total energy is -99.19 eV for the cell shown. The energy of formation is -0.21 eV/atom. Its density of states at the Fermi level is 14.310 states/eV per cell.

Cell and atoms, written as CIF:
```
data_Sr3InAg8
_chemical_formula_sum 'Sr9 In3 Ag24'
_cell_length_a 5.8089
_cell_length_b 5.8089
_cell_length_c 29.0581
_cell_angle_alpha 90.00
_cell_angle_beta 90.00
_cell_angle_gamma 120.00
_symmetry_space_group_name_H-M 'R 3 m'
_symmetry_Int_Tables_number 160
_symmetry_space_group_name_Hall 'R 3 -2"'
loop_
_atom_site_label
_atom_site_type_symbol
_atom_site_fract_x
_atom_site_fract_y
_atom_site_fract_z
Sr1 Sr 0.0000 0.0000 0.0000
Sr2 Sr 0.0000 0.0000 0.1293
Sr3 Sr 0.0000 0.0000 0.6132
In1 In 0.0000 0.0000 0.4930
Ag1 Ag 0.0000 0.0000 0.3099
Ag2 Ag 0.0000 0.0000 0.8106
Ag3 Ag 0.0001 0.5001 0.0610
Ag4 Ag 0.0035 0.5017 0.5595
```

---

No. 8
Computed, not measured: crystalline Na2CuRuRh at its relaxed geometry at the PBE-GGA level of DFT.

Values from the calculation:
The volume is 124.54 Å³ per cell. The total energy is -15.49 eV for the cell shown. The energy of formation is 1.57 eV/atom. Its density of states at the Fermi level is 4.508 states/eV per cell.

Cell and atoms, written as CIF:
```
data_Na2CuRuRh
_chemical_formula_sum 'Na2 Cu1 Ru1 Rh1'
_cell_length_a 5.2088
_cell_length_b 5.2088
_cell_length_c 4.5901
_cell_angle_alpha 90.00
_cell_angle_beta 90.00
_cell_angle_gamma 90.00
_symmetry_space_group_name_H-M 'P 4/m m m'
_symmetry_Int_Tables_number 123
_symmetry_space_group_name_Hall '-P 4 2'
loop_
_atom_site_label
_atom_site_type_symbol
_atom_site_fract_x
_atom_site_fract_y
_atom_site_fract_z
Na1 Na 0.0000 0.5000 0.0000
Cu1 Cu 0.0000 0.0000 0.5000
Ru1 Ru 0.0000 0.0000 0.0000
Rh1 Rh 0.5000 0.5000 0.5000
```

---

No. 9
Computed, not measured: crystalline Sn2SbP at its relaxed geometry at the PBE-GGA level of DFT.

Values from the calculation:
The volume is 446.62 Å³ per cell. The total energy is -46.75 eV for the cell shown. For the energy above the most stable polymorph in this dataset, the calculation gives 416 meV per atom. Its density of states at the Fermi level is 4.858 states/eV per cell. The calculation puts the raw formation energy at 188.5 kJ/mol of formula units.

Cell and atoms, written as CIF:
```
data_Sn2SbP
_chemical_formula_sum 'Sn6 Sb3 P3'
_cell_length_a 4.7202
_cell_length_b 4.7202
_cell_length_c 23.1463
_cell_angle_alpha 90.00
_cell_angle_beta 90.00
_cell_angle_gamma 120.00
_symmetry_space_group_name_H-M 'R -3 m'
_symmetry_Int_Tables_number 166
_symmetry_space_group_name_Hall '-R 3 2"'
loop_
_atom_site_label
_atom_site_type_symbol
_atom_site_fract_x
_atom_site_fract_y
_atom_site_fract_z
Sn1 Sn 0.0000 0.0000 0.1038
Sb1 Sb 0.0000 0.0000 0.5000
P1 P 0.0000 0.0000 0.0000
```

---

No. 10
Computed, not measured: crystalline PbCl at its relaxed geometry at the PBE-GGA level of DFT.

Values from the calculation:
The volume is 115.50 Å³ per cell. The total energy is -13.10 eV for the cell shown. Its density of states at the Fermi level is 2.911 states/eV per cell. The calculation puts the raw formation energy at -96.0 kJ/mol of formula units.

Cell and atoms, written as CIF:
```
data_PbCl
_chemical_formula_sum 'Pb2 Cl2'
_cell_length_a 3.8527
_cell_length_b 3.8527
_cell_length_c 7.7812
_cell_angle_alpha 90.00
_cell_angle_beta 90.00
_cell_angle_gamma 90.00
_symmetry_space_group_name_H-M 'P 4/n m m'
_symmetry_Int_Tables_number 129
loop_
_symmetry_equiv_pos_as_xyz
'x,y,z'
'-x,-y,-z'
'-y+1/2,x,z'
'y+1/2,-x,-z'
'-x+1/2,-y+1/2,z'
'x+1/2,y+1/2,-z'
'y,-x+1/2,z'
'-y,x+1/2,-z'
'x+1/2,-y,-z'
'-x+1/2,y,z'
'-y,-x,-z'
'y,x,z'
'-x,y+1/2,-z'
'x,-y+1/2,z'
'y+1/2,x+1/2,-z'
'-y+1/2,-x+1/2,z'
loop_
_atom_site_label
_atom_site_type_symbol
_atom_site_fract_x
_atom_site_fract_y
_atom_site_fract_z
Pb1 Pb 0.2500 0.2500 0.1444
Cl1 Cl 0.2500 0.2500 0.6738
```

---

No. 11
Computed, not measured: crystalline Sr2Ca3Ag2 at its relaxed geometry at the PBE-GGA level of DFT.

Values from the calculation:
The volume is 504.88 Å³ per cell. The total energy is -32.98 eV for the cell shown. The energy of formation is -0.20 eV/atom. Its density of states at the Fermi level is 11.710 states/eV per cell.

Cell and atoms, written as CIF:
```
data_Sr2Ca3Ag2
_chemical_formula_sum 'Sr4 Ca6 Ag4'
_cell_length_a 12.9832
_cell_length_b 4.4659
_cell_length_c 9.5300
_cell_angle_alpha 90.00
_cell_angle_beta 113.98
_cell_angle_gamma 90.00
_symmetry_space_group_name_H-M 'C 1 2/m 1'
_symmetry_Int_Tables_number 12
_symmetry_space_group_name_Hall '-C 2y'
loop_
_atom_site_label
_atom_site_type_symbol
_atom_site_fract_x
_atom_site_fract_y
_atom_site_fract_z
Sr1 Sr 0.1540 0.0000 0.3019
Ca1 Ca 0.0000 0.5000 0.5000
Ca2 Ca 0.1258 0.5000 0.9353
Ag1 Ag 0.1585 0.0000 0.7220
```

---

No. 12
Computed, not measured: crystalline MgTe2W at its relaxed geometry at the PBE-GGA level of DFT.

Values from the calculation:
The volume is 304.52 Å³ per cell. The total energy is -59.81 eV for the cell shown. Its density of states at the Fermi level is 10.380 states/eV per cell. The calculation puts the raw formation energy at 86.5 kJ/mol of formula units.

Cell and atoms, written as CIF:
```
data_MgTe2W
_chemical_formula_sum 'Mg3 Te6 W3'
_cell_length_a 3.2735
_cell_length_b 3.2735
_cell_length_c 32.8141
_cell_angle_alpha 90.00
_cell_angle_beta 90.00
_cell_angle_gamma 120.00
_symmetry_space_group_name_H-M 'R 3 m'
_symmetry_Int_Tables_number 160
_symmetry_space_group_name_Hall 'R 3 -2"'
loop_
_atom_site_label
_atom_site_type_symbol
_atom_site_fract_x
_atom_site_fract_y
_atom_site_fract_z
Mg1 Mg 0.0000 0.0000 0.0000
Te1 Te 0.0000 0.0000 0.5397
Te2 Te 0.0000 0.0000 0.7446
W1 W 0.0000 0.0000 0.2652
```